# CoBiF6

An optimized crystal structure of CoBiF6 (PBE with a Hubbard U, Alexandria).

abc: 5.2941 5.2941 9.9040
angles: 90.00 90.00 120.00
Last column: magnetic moment on the atom in μB.
Fractional positions:
F 0.3284 0.3671 0.3654  0.11
Co 0.6667 0.3333 0.7500  3.18
F 0.3671 0.0387 0.6346  0.11
Bi 0.0000 0.0000 0.5000  0.04
F 0.9613 0.6329 0.8654  0.11
F 0.6329 0.9613 0.3654  0.11
F 0.0387 0.3671 0.1346  0.11
F 0.6716 0.0387 0.8654  0.11
F 0.3284 0.9613 0.1346  0.11
Co 0.3333 0.6667 0.2500  3.18
F 0.0387 0.6716 0.3654  0.11
F 0.3671 0.3284 0.8654  0.11
F 0.9613 0.3284 0.6346  0.11
F 0.6716 0.6329 0.6346  0.11
Bi 0.0000 0.0000 0.0000  0.04
F 0.6329 0.6716 0.1346  0.11

Values from the calculation:
Uncorrected energy: -74.1 eV per cell
Magnetic moment: 3.9 μB per formula unit
SG: P-31c (163)
Density of states at the Fermi level: 6.5 states/eV/f.u.